# KMn2B2O6, optimized geometry, DFT PBE with a Hubbard U
data_KMn2B2O6
_chemical_formula_sum 'K1 Mn2 B2 O6'
_cell_length_a 5.384
_cell_length_b 5.480
_cell_length_c 6.349
_cell_angle_alpha 110.78
_cell_angle_beta 112.08
_cell_angle_gamma 92.90
_space_group_name_H-M_alt 'P 1'
_space_group_IT_number 1
loop_
_space_group_symop_operation_xyz
'x,y,z'
loop_
_atom_site_label
_atom_site_type_symbol
_atom_site_fract_x
_atom_site_fract_y
_atom_site_fract_z
K1 K 0.000 0.000 0.000
Mn1 Mn 0.327 0.716 0.442
Mn2 Mn 0.673 0.284 0.558
B1 B 0.261 0.262 0.670
B2 B 0.739 0.738 0.330
O1 O 0.056 0.276 0.744
O2 O 0.298 0.388 0.521
O3 O 0.464 0.116 0.726
O4 O 0.536 0.884 0.274
O5 O 0.702 0.612 0.479
O6 O 0.944 0.724 0.256
# Total DFT energy (no corrections) ... -7.387 eV per atom
# Space-group type ... P-1, No. 2
# Volume ... 158.63 Å³/cell